# PBE LaZnPb2O, optimized geometry
# Formation energy from raw total energies in meV per atom: -757
# Total DFT energy (no corrections) in eV/cell: -22.36
# Total magnetization in μB per formula unit: 0.00
# Calculated density in g/cm3: 8.42
data_LaZnPb2O
_chemical_formula_sum 'La1 Zn1 Pb2 O1'
_symmetry_space_group_name_H-M 'P 4/m m m'
_symmetry_Int_Tables_number 123
_symmetry_space_group_name_Hall '-P 4 2'
_cell_length_a 5.105
_cell_length_b 5.105
_cell_length_c 4.801
_cell_angle_alpha 90.00
_cell_angle_beta 90.00
_cell_angle_gamma 90.00
loop_
_atom_site_label
_atom_site_fract_x
_atom_site_fract_y
_atom_site_fract_z
La1 0.000 0.000 0.000
Zn1 0.500 0.500 0.000
Pb1 0.000 0.500 0.500
O1 0.000 0.000 0.500